# 1
DFT (GGA-PBE) results for a relaxed Sn5P4Au crystal.

a b c (Å): 3.9745 3.9745 28.1276
angles (deg): 90.00 90.00 90.00
Closest atoms and distances in Å follow each position.
Space group I4/mmm (No. 139)
One atom of each set of equivalent atoms:
Sn  0.0000  0.0000  0.0000  4 Au 2.81, 2 P 2.88
Sn  0.0000  0.0000  0.1999  6 P 2.74-2.81
Sn  0.0000  0.0000  0.3977  5 P 2.76-2.81, 1 Au 2.88
P  0.0000  0.0000  0.1023  6 Sn 2.74-2.88
P  0.0000  0.0000  0.2996  6 Sn 2.76-2.81
Au  0.0000  0.0000  0.5000  6 Sn 2.81-2.88

Values from the calculation:
Crystal system: tetragonal
Energy relative to the elements, eV per atom: -0.02

# 2
DFT (GGA-PBE) results for a relaxed SnPAu crystal.

a b c (Å): 5.6662 5.6662 7.6451
angles (deg): 90.00 90.00 120.00
Closest atoms and distances in Å follow each position.
Space group P3_2 (No. 145)
One atom of each set of equivalent atoms:
Sn  0.1424  0.7474  0.0000  3 P 2.70-2.86, 2 Au 2.74
P  0.0773  0.7974  0.3449  2 Au 2.46-2.48, 1 Sn 2.70
Au  0.3249  0.2984  0.3245  2 P 2.46-2.48, 2 Sn 2.74

Values from the calculation:
Crystal system: trigonal
Energy relative to the elements, eV per atom: 0.10
Distance to the lowest polymorph of the same formula, meV per atom: 52